VASP calculation (GGA-PBEsol) on an optimized crystal structure of MnSb6Pb4S14.

Unit cell a=3.954 b=18.963 c=15.696 alpha=90.00 beta=92.45 gamma=90.00
Space group P2_1/c (No. 14)
Asymmetric unit:
Mn  0.000  0.000  0.000 [2 per cell]
Sb  0.356  0.158  0.371 [4 per cell]
Sb  0.367  0.050  0.601 [4 per cell]
Sb  0.405  0.562  0.314 [4 per cell]
Pb  0.050  0.641  0.683 [4 per cell]
Pb  0.083  0.742  0.925 [4 per cell]
S  0.029  0.105  0.085 [4 per cell]
S  0.054  0.505  0.788 [4 per cell]
S  0.086  0.602  0.006 [4 per cell]
S  0.129  0.701  0.225 [4 per cell]
S  0.397  0.228  0.947 [4 per cell]
S  0.426  0.162  0.682 [4 per cell]
S  0.468  0.046  0.905 [4 per cell]

Summary:
M_tot = 5.01 μB per formula unit
raw total energy = -248.213 eV/cell